*1*
## NaTlSbAu (GGA-PBE)

Data for a relaxed NaTlSbAu crystal.

Lattice parameters (Å, degrees): 7.3005 7.3005 7.3005 90.00 90.00 90.00
Fractional coordinates of all 16 atoms:
Na1 0.0000 0.0000 0.0000
Na2 0.0000 0.5000 0.5000
Na3 0.5000 0.0000 0.5000
Na4 0.5000 0.5000 0.0000
Tl1 0.2500 0.2500 0.7500
Tl2 0.2500 0.7500 0.2500
Tl3 0.7500 0.2500 0.2500
Tl4 0.7500 0.7500 0.7500
Sb1 0.2500 0.2500 0.2500
Sb2 0.2500 0.7500 0.7500
Sb3 0.7500 0.2500 0.7500
Sb4 0.7500 0.7500 0.2500
Au1 0.0000 0.0000 0.5000
Au2 0.0000 0.5000 0.0000
Au3 0.5000 0.0000 0.0000
Au4 0.5000 0.5000 0.5000

## Properties
crystal system = cubic

*2*
## NaTlSbAu (GGA-PBE)

Data for a relaxed NaTlSbAu crystal.

Lattice parameters (Å, degrees): 8.0564 4.6489 8.0055 90.00 109.37 90.00
Fractional coordinates of all 8 atoms:
Na1 0.0000 0.0000 0.0000
Na2 0.5000 0.5000 0.0000
Tl1 0.1437 0.0000 0.4315
Tl2 0.6437 0.5000 0.4315
Sb1 0.0804 0.5000 0.7388
Sb2 0.5804 0.0000 0.7388
Au1 0.2715 0.0000 0.8125
Au2 0.7715 0.5000 0.8125

## Properties
crystal system = monoclinic

The structure with the most favorable energy is *2*; the runner-up is 11 meV/atom above it.

*1*
## Na2ScAu2 (GGA-PBE)

Data for a relaxed Na2ScAu2 crystal.

Lattice parameters (Å, degrees): 5.0361 5.0361 8.7160 90.00 90.00 90.00
Fractional coordinates of all 10 atoms:
Na1 0.0000 0.0000 0.1329
Na2 0.0000 0.0000 0.8671
Na3 0.5000 0.5000 0.3671
Na4 0.5000 0.5000 0.6329
Sc1 0.0000 0.0000 0.5000
Sc2 0.5000 0.5000 0.0000
Au1 0.0000 0.5000 0.2500
Au2 0.0000 0.5000 0.7500
Au3 0.5000 0.0000 0.2500
Au4 0.5000 0.0000 0.7500

## Properties
crystal system = tetragonal

*2*
## Na2ScAu2 (GGA-PBE)

Data for a relaxed Na2ScAu2 crystal.

Lattice parameters (Å, degrees): 7.1764 7.1764 4.5888 90.00 90.00 90.00
Fractional coordinates of all 10 atoms:
Na1 0.1633 0.3367 0.0000
Na2 0.3367 0.8367 0.0000
Na3 0.6633 0.1633 0.0000
Na4 0.8367 0.6633 0.0000
Sc1 0.0000 0.0000 0.5000
Sc2 0.5000 0.5000 0.5000
Au1 0.1375 0.6375 0.5000
Au2 0.3625 0.1375 0.5000
Au3 0.6375 0.8625 0.5000
Au4 0.8625 0.3625 0.5000

## Properties
crystal system = tetragonal

The structure with the most favorable energy is *2*; the runner-up is 323 meV/atom above it.